(1)
# CrNi6Ir (PBE-GGA, optimized geometry)
# Magnetic moment in μB/f.u.: 0.46
# Energy relative to the elements in meV/atom: -27
# Final energy in eV/cell: -106.778
data_CrNi6Ir
_chemical_formula_sum 'Cr2 Ni12 Ir2'
_symmetry_space_group_name_H-M 'I 4/m m m'
_symmetry_Int_Tables_number 139
_symmetry_space_group_name_Hall '-I 4 2'
_cell_length_a 3.605
_cell_length_b 3.605
_cell_length_c 14.168
_cell_angle_alpha 90.00
_cell_angle_beta 90.00
_cell_angle_gamma 90.00
loop_
_atom_site_label
_atom_site_type_symbol
_atom_site_fract_x
_atom_site_fract_y
_atom_site_fract_z
Cr1 Cr 0.000 0.000 0.000
Ni1 Ni 0.000 0.000 0.250
Ni2 Ni 0.000 0.500 0.128
Ir1 Ir 0.000 0.000 0.500


(2)
# TbYInSn (PBE-GGA, optimized geometry)
# Magnetic moment in μB/f.u.: 0.00
# Energy relative to the elements in meV/atom: -521
# Final energy in eV/cell: -79.673
data_TbYInSn
_chemical_formula_sum 'Tb4 Y4 In4 Sn4'
_symmetry_space_group_name_H-M 'F -4 3 m'
_symmetry_Int_Tables_number 216
_symmetry_space_group_name_Hall 'F -4 2 3'
_cell_length_a 7.562
_cell_length_b 7.562
_cell_length_c 7.562
_cell_angle_alpha 90.00
_cell_angle_beta 90.00
_cell_angle_gamma 90.00
loop_
_atom_site_label
_atom_site_type_symbol
_atom_site_fract_x
_atom_site_fract_y
_atom_site_fract_z
Tb1 Tb 0.000 0.000 0.000
Y1 Y 0.000 0.000 0.500
In1 In 0.250 0.250 0.750
Sn1 Sn 0.250 0.250 0.250